1.
Sr2Cu2P: relaxed, PBE-GGA.

Geometry as POSCAR:
```
Sr2Cu2P
1.0
-5.292 -3.614 3.346
-0.790 -4.225 -5.813
2.951 -2.805 1.638
Sr Cu P
4 4 2
Direct
0.191 0.691 0.500
0.691 0.809 0.500
0.809 0.309 0.500
0.309 0.191 0.500
0.384 0.884 0.000
0.884 0.616 0.000
0.616 0.116 0.000
0.116 0.384 0.000
0.000 0.000 0.000
0.500 0.500 0.000
```

As for the distance to the lowest polymorph of the same formula: 1.96 kcal/mol of atoms. Its spin magnetization is 0.00 μB/f.u. The density of states at the Fermi level comes out at 0.4038 states/eV per atom. The formation energy from the elements is -100 kJ/mol of formula units.



2.
Th3Al4Os4: relaxed, PBE-GGA.

Geometry as POSCAR:
```
Th3Al4Os4
1.0
6.656 0.000 0.000
-2.219 6.276 0.000
-2.219 -3.138 5.435
Th Al Os
3 4 4
Direct
0.500 0.500 0.000
0.500 0.000 0.500
0.000 0.500 0.500
0.000 0.250 0.000
0.000 0.000 0.250
0.250 0.000 0.000
0.750 0.750 0.750
0.000 0.615 0.000
0.615 0.000 0.000
0.000 0.000 0.615
0.385 0.385 0.385
```

As for the distance to the lowest polymorph of the same formula: 6.28 kcal/mol of atoms. Its spin magnetization is 0.00 μB/f.u. The density of states at the Fermi level comes out at 0.5802 states/eV per atom. The formation energy from the elements is -160 kJ/mol of formula units.



3.
TaNbFe2H: relaxed, PBE-GGA.

Geometry as POSCAR:
```
TaNbFe2H
1.0
-1.889 -2.510 -2.291
0.017 -2.628 2.865
-3.441 1.399 1.304
H Nb Fe Ta
1 1 2 1
Direct
0.000 0.000 0.000
0.500 0.500 0.500
0.000 0.500 0.000
0.500 0.000 0.000
0.000 0.000 0.500
```

As for the distance to the lowest polymorph of the same formula: 0.28 kcal/mol of atoms. Its spin magnetization is 1.54 μB/f.u. The density of states at the Fermi level comes out at 1.1758 states/eV per atom.



4.
NbPtC3: relaxed, PBE-GGA.

Geometry as POSCAR:
```
NbPtC3
1.0
3.968 0.000 0.000
0.000 3.968 0.000
0.000 0.000 3.968
Nb C Pt
1 3 1
Direct
0.500 0.500 0.500
0.000 0.500 0.000
0.000 0.000 0.500
0.500 0.000 0.000
0.000 0.000 0.000
```

As for the distance to the lowest polymorph of the same formula: 0.00 kcal/mol of atoms. Its spin magnetization is 0.00 μB/f.u. The density of states at the Fermi level comes out at 1.0363 states/eV per atom. The formation energy from the elements is 1096 kJ/mol of formula units.



What did the fourth record say?
NbPtC3: relaxed, PBE-GGA.

Geometry as POSCAR:
```
NbPtC3
1.0
3.968 0.000 0.000
0.000 3.968 0.000
0.000 0.000 3.968
Nb C Pt
1 3 1
Direct
0.500 0.500 0.500
0.000 0.500 0.000
0.000 0.000 0.500
0.500 0.000 0.000
0.000 0.000 0.000
```

As for the distance to the lowest polymorph of the same formula: 0.00 kcal/mol of atoms. Its spin magnetization is 0.00 μB/f.u. The density of states at the Fermi level comes out at 1.0363 states/eV per atom. The formation energy from the elements is 1096 kJ/mol of formula units.



- Among the records above, which one has the highest spin magnetization?
  TaNbFe2H



- Among the records above, which one has the highest spin magnetization?
  TaNbFe2H